(1)
Na7I2O5: optimized geometry, GGA-PBE.

Output
Uncorrected formation energy in eV per atom: -0.764
Energy in eV per atom: -3.42
Crystal system: tetragonal
N(E_F) in states/eV/atom: 0.608

Cell: 7.7584 7.7584 10.4602 Å, 90.00 90.00 90.00°
Space group P4/nmm (No. 129, origin choice 2)
Asymmetric unit:
Na: 0.0000 0.0000 0.0000 [4 per cell]
Na: 0.0378 0.0378 0.3002 [8 per cell]
Na: 0.2500 0.2500 0.0791 [2 per cell]
I: 0.2500 0.2500 0.7818 [2 per cell]
I: 0.2500 0.7500 0.5000 [2 per cell]
O: 0.0243 0.7500 0.8588 [8 per cell]
O: 0.2500 0.2500 0.3023 [2 per cell]

***

(2)
KIr3Ru: optimized geometry, GGA-PBE.

Output
Energy in eV per atom: -5.93
Crystal system: cubic
N(E_F) in states/eV/atom: 1.023

Cell: 4.8002 4.8002 4.8002 Å, 90.00 90.00 90.00°
Space group Pm-3m (No. 221)
Asymmetric unit:
K: 0.0000 0.0000 0.0000 [1 per cell]
Ir: 0.0000 0.5000 0.5000 [3 per cell]
Ru: 0.5000 0.5000 0.5000 [1 per cell]

***

(3)
LiNiSb2: optimized geometry, GGA-PBE.

Output
Uncorrected formation energy in eV per atom: -0.129
Energy in eV per atom: -4.11
Crystal system: monoclinic
N(E_F) in states/eV/atom: 0.692

Cell: 3.1905 4.1262 6.2832 Å, 90.00 91.55 90.00°
Space group P2/m (No. 10)
Asymmetric unit:
Li: 0.0000 0.0000 0.0000 [1 per cell]
Ni: 0.5000 0.0000 0.5000 [1 per cell]
Sb: 0.4800 0.5000 0.7408 [2 per cell]

***

(4)
Ho2BiPb: optimized geometry, GGA-PBE.

Output
Energy in eV per atom: -4.83
Crystal system: orthorhombic
N(E_F) in states/eV/atom: 0.358

Cell: 4.5128 24.2138 4.4182 Å, 90.00 90.00 90.00°
Space group Cmcm (No. 63)
Asymmetric unit:
Ho: 0.0000 0.0609 0.2500 [4 per cell]
Ho: 0.0000 0.3161 0.2500 [4 per cell]
Bi: 0.0000 0.1876 0.2500 [4 per cell]
Pb: 0.0000 0.4497 0.2500 [4 per cell]